Entry 1:
A plane-wave DFT calculation with PBE was carried out for crystalline PrPdNO at its relaxed geometry.

Calculated values
E in eV/f.u.: -26.64

a = 5.008 Å, b = 5.008 Å, c = 4.641 Å
α = 90.00°, β = 90.00°, γ = 90.00°
Fractional positions:
Pr (0.250, 0.750, 0.000)
Pr (0.750, 0.250, 0.000)
Pd (0.250, 0.250, 0.499)
Pd (0.750, 0.750, 0.501)
N (0.250, 0.250, 0.997)
N (0.750, 0.750, 0.003)
O (0.250, 0.750, 0.500)
O (0.750, 0.250, 0.500)

=====

Entry 2:
A plane-wave DFT calculation with PBE was carried out for crystalline Dy5Lu2Ni2Te2 at its relaxed geometry.

Calculated values
E in eV/f.u.: -57.02

a = 9.288 Å, b = 9.288 Å, c = 9.288 Å
α = 156.13°, β = 67.02°, γ = 118.42°
Fractional positions:
Dy (0.000, 0.000, 0.000)
Dy (0.083, 0.730, 0.353)
Dy (0.376, 0.730, 0.647)
Dy (0.448, 0.582, 0.866)
Dy (0.717, 0.582, 0.134)
Lu (0.062, 0.377, 0.685)
Lu (0.692, 0.377, 0.315)
Ni (0.305, 0.069, 0.236)
Ni (0.833, 0.069, 0.764)
Te (0.338, 0.338, 0.000)
Te (0.734, 0.234, 0.500)

=====

Entry 3:
A plane-wave DFT calculation with PBE was carried out for crystalline Cu2Si3Ge2 at its relaxed geometry.

Calculated values
E in eV/f.u.: -31.15

a = 9.247 Å, b = 9.247 Å, c = 9.247 Å
α = 23.72°, β = 23.72°, γ = 23.72°
Fractional positions:
Cu (0.000, 0.000, 0.000)
Cu (0.469, 0.469, 0.469)
Si (0.373, 0.373, 0.373)
Si (0.622, 0.622, 0.622)
Si (0.909, 0.909, 0.909)
Ge (0.185, 0.185, 0.185)
Ge (0.761, 0.761, 0.761)

=====

Entry 4:
A plane-wave DFT calculation with PBE was carried out for crystalline ZrAlPdC at its relaxed geometry.

Calculated values
E in eV/f.u.: -27.26

a = 4.176 Å, b = 4.176 Å, c = 7.692 Å
α = 90.00°, β = 90.00°, γ = 120.00°
Fractional positions:
Zr (0.333, 0.667, 0.324)
Zr (0.667, 0.333, 0.676)
Al (0.000, 0.000, 0.000)
Al (0.000, 0.000, 0.500)
Pd (0.333, 0.667, 0.899)
Pd (0.667, 0.333, 0.101)
C (0.333, 0.667, 0.624)
C (0.667, 0.333, 0.376)

=====

Entry 5:
A plane-wave DFT calculation with PBE was carried out for crystalline Cu5Ag4 at its relaxed geometry.

Calculated values
E in eV/f.u.: -29.06

a = 7.055 Å, b = 7.055 Å, c = 6.754 Å
α = 95.78°, β = 95.78°, γ = 23.08°
Fractional positions:
Cu (0.000, 0.000, 0.000)
Cu (0.437, 0.437, 0.697)
Cu (0.554, 0.554, 0.305)
Cu (0.654, 0.654, 0.993)
Cu (0.777, 0.777, 0.664)
Ag (0.102, 0.102, 0.658)
Ag (0.217, 0.217, 0.329)
Ag (0.326, 0.326, 0.996)
Ag (0.898, 0.898, 0.358)

=====

Entry 6:
A plane-wave DFT calculation with PBE was carried out for crystalline PrTm2O4 at its relaxed geometry.

Calculated values
E in eV/f.u.: -56.27

a = 6.791 Å, b = 6.791 Å, c = 6.791 Å
α = 60.00°, β = 60.00°, γ = 60.00°
Fractional positions:
Pr (0.125, 0.125, 0.125)
Pr (0.875, 0.875, 0.875)
Tm (0.000, 0.500, 0.500)
Tm (0.500, 0.000, 0.500)
Tm (0.500, 0.500, 0.000)
Tm (0.500, 0.500, 0.500)
O (0.265, 0.265, 0.265)
O (0.265, 0.265, 0.706)
O (0.265, 0.706, 0.265)
O (0.294, 0.735, 0.735)
O (0.706, 0.265, 0.265)
O (0.735, 0.294, 0.735)
O (0.735, 0.735, 0.294)
O (0.735, 0.735, 0.735)

=====

Entry 7:
A plane-wave DFT calculation with PBE was carried out for crystalline LaTmAlSe3 at its relaxed geometry.

Calculated values
E in eV/f.u.: -31.27

a = 7.653 Å, b = 7.653 Å, c = 9.793 Å
α = 90.00°, β = 90.00°, γ = 149.46°
Fractional positions:
La (0.227, 0.773, 0.750)
La (0.773, 0.227, 0.250)
Tm (0.000, 0.000, 0.000)
Tm (0.000, 0.000, 0.500)
Al (0.474, 0.526, 0.250)
Al (0.526, 0.474, 0.750)
Se (0.119, 0.881, 0.250)
Se (0.358, 0.642, 0.048)
Se (0.358, 0.642, 0.452)
Se (0.642, 0.358, 0.548)
Se (0.642, 0.358, 0.952)
Se (0.881, 0.119, 0.750)

=====

Entry 8:
A plane-wave DFT calculation with PBE was carried out for crystalline TbHg3 at its relaxed geometry.

Calculated values
E in eV/f.u.: -5.68

a = 6.445 Å, b = 6.445 Å, c = 11.795 Å
α = 90.00°, β = 90.00°, γ = 90.00°
Fractional positions:
Tb (0.000, 0.000, 0.159)
Tb (0.000, 0.000, 0.841)
Tb (0.500, 0.500, 0.341)
Tb (0.500, 0.500, 0.659)
Hg (0.178, 0.178, 0.373)
Hg (0.178, 0.178, 0.627)
Hg (0.243, 0.757, 0.500)
Hg (0.257, 0.257, 0.000)
Hg (0.322, 0.678, 0.127)
Hg (0.322, 0.678, 0.873)
Hg (0.678, 0.322, 0.127)
Hg (0.678, 0.322, 0.873)
Hg (0.743, 0.743, 0.000)
Hg (0.757, 0.243, 0.500)
Hg (0.822, 0.822, 0.373)
Hg (0.822, 0.822, 0.627)

=====

> Which formula does entry 7 have?

LaTmAlSe3

=====

> The highest E belongs to which entry?

TbHg3